# 1
12
Lattice="4.513 -2.711 0.000 4.513 2.711 0.000 -3.342 0.000 9.112" Properties=species:S:1:pos:R:3 comment="KAlO PBE-GGA relaxed" sg=Cc formation_energy_uncorrected_mev_per_atom=-1450 crystal_system=monoclinic pbc="T T T"
K 2.997 1.272 1.142
K 2.842 1.452 4.556
K 1.326 -1.272 5.698
K 4.513 -1.452 0.000
Al 2.650 1.188 7.866
Al 6.038 1.209 2.376
Al 4.321 -1.188 3.310
Al 4.367 -1.209 6.932
O 0.656 0.013 2.817
O -1.015 -0.013 7.373
O 6.039 1.137 0.565
O 4.368 -1.137 5.121

***

# 2
5
Lattice="4.893 0.000 0.000 0.000 4.893 0.000 0.000 0.000 5.357" Properties=species:S:1:pos:R:3 comment="As2PbSBr PBE-GGA relaxed" sg=P4/mmm formation_energy_uncorrected_mev_per_atom=416 crystal_system=tetragonal de_polymorph_ev_per_fu=0.000 pbc="T T T"
As 0.000 2.447 0.000
As 2.447 0.000 0.000
Pb 0.000 0.000 2.679
S 2.447 2.447 0.000
Br 2.447 2.447 2.679

***

# 3
12
Lattice="9.153 -2.081 0.000 9.153 2.081 0.000 -2.099 0.000 8.090" Properties=species:S:1:pos:R:3 comment="Pm6Si2SCl3 PBE-GGA relaxed" sg=C2/m formation_energy_uncorrected_mev_per_atom=-1371 crystal_system=monoclinic pbc="T T T"
Pm -0.369 0.000 1.842
Pm 5.082 0.000 3.478
Pm 4.366 0.000 7.311
Pm 11.842 0.000 0.778
Pm 11.126 0.000 4.612
Pm 16.577 0.000 6.248
Si 2.325 0.000 2.679
Si 13.883 0.000 5.411
S 9.153 0.000 0.000
Cl 1.372 0.000 6.766
Cl 8.104 0.000 4.045
Cl 14.836 0.000 1.324

***

# 4
10
Lattice="3.790 0.000 0.000 0.000 3.790 0.000 0.000 0.000 18.781" Properties=species:S:1:pos:R:3 comment="Sr2Ga2Pt PBE-GGA relaxed" sg=I4/mmm formation_energy_ev_per_atom=-0.42 crystal_system=tetragonal de_polymorph_ev_per_fu=1.142 pbc="T T T"
Sr 0.000 0.000 1.768
Sr 0.000 0.000 17.013
Sr 1.895 1.895 7.622
Sr 1.895 1.895 11.158
Ga 0.000 1.895 4.695
Ga 0.000 1.895 14.086
Ga 1.895 0.000 4.695
Ga 1.895 0.000 14.086
Pt 0.000 0.000 9.390
Pt 1.895 1.895 0.000

***

no.,magnetic moment (μB/f.u.)
1,0.00
2,0.00
3,0.00
4,0.00